# 1
# GGA-PBEsol Cr3Si4, relaxed
# Formation energy without anion corrections   -0.410 eV per atom
# Total moment   0.0 Bohr magnetons per cell
data_Cr3Si4
_chemical_formula_sum 'Cr6 Si8'
_symmetry_space_group_name_H-M 'I 4/m m m'
_symmetry_Int_Tables_number 139
_symmetry_space_group_name_Hall '-I 4 2'
_cell_length_a 3.0150
_cell_length_b 3.0150
_cell_length_c 17.7831
_cell_angle_alpha 90.00
_cell_angle_beta 90.00
_cell_angle_gamma 90.00
loop_
_atom_site_label
_atom_site_type_symbol
_atom_site_fract_x
_atom_site_fract_y
_atom_site_fract_z
_atom_site_occupancy
Cr1 Cr 0.0000 0.0000 0.0000 1
Cr2 Cr 0.0000 0.0000 0.2908 1
Si1 Si 0.0000 0.0000 0.1454 1
Si2 Si 0.0000 0.0000 0.4311 1

=====

# 2
# GGA-PBEsol CrSi3, relaxed
# Formation energy without anion corrections   0.103 eV per atom
# Total moment   1.4 Bohr magnetons per cell
data_CrSi3
_chemical_formula_sum 'Cr1 Si3'
_symmetry_space_group_name_H-M 'P 4/m m m'
_symmetry_Int_Tables_number 123
_symmetry_space_group_name_Hall '-P 4 2'
_cell_length_a 2.6844
_cell_length_b 2.6844
_cell_length_c 7.1075
_cell_angle_alpha 90.00
_cell_angle_beta 90.00
_cell_angle_gamma 90.00
loop_
_atom_site_label
_atom_site_type_symbol
_atom_site_fract_x
_atom_site_fract_y
_atom_site_fract_z
_atom_site_occupancy
Cr1 Cr 0.0000 0.0000 0.0000 1
Si1 Si 0.0000 0.0000 0.5000 1
Si2 Si 0.5000 0.5000 0.2242 1

=====

# 3
# GGA-PBEsol Cr5Si3, relaxed
# Formation energy without anion corrections   -0.368 eV per atom
# Total moment   0.0 Bohr magnetons per cell
data_Cr5Si3
_chemical_formula_sum 'Cr20 Si12'
_symmetry_space_group_name_H-M 'I 4/m c m'
_symmetry_Int_Tables_number 140
_symmetry_space_group_name_Hall '-I 4 2c'
_cell_length_a 8.9818
_cell_length_b 8.9818
_cell_length_c 4.5272
_cell_angle_alpha 90.00
_cell_angle_beta 90.00
_cell_angle_gamma 90.00
loop_
_atom_site_label
_atom_site_type_symbol
_atom_site_fract_x
_atom_site_fract_y
_atom_site_fract_z
_atom_site_occupancy
Cr1 Cr 0.0000 0.5000 0.2500 1
Cr2 Cr 0.0762 0.2286 0.0000 1
Si1 Si 0.0000 0.0000 0.2500 1
Si2 Si 0.1676 0.3324 0.5000 1

=====

# 4
# GGA-PBEsol CrSi, relaxed
# Formation energy without anion corrections   -0.367 eV per atom
# Total moment   0.0 Bohr magnetons per cell
data_CrSi
_chemical_formula_sum 'Cr2 Si2'
_symmetry_space_group_name_H-M 'P 4/n m m'
_symmetry_Int_Tables_number 129
_cell_length_a 2.9928
_cell_length_b 2.9928
_cell_length_c 5.1327
_cell_angle_alpha 90.00
_cell_angle_beta 90.00
_cell_angle_gamma 90.00
loop_
_symmetry_equiv_pos_as_xyz
'x,y,z'
'-x,-y,-z'
'-y+1/2,x,z'
'y+1/2,-x,-z'
'-x+1/2,-y+1/2,z'
'x+1/2,y+1/2,-z'
'y,-x+1/2,z'
'-y,x+1/2,-z'
'x+1/2,-y,-z'
'-x+1/2,y,z'
'-y,-x,-z'
'y,x,z'
'-x,y+1/2,-z'
'x,-y+1/2,z'
'y+1/2,x+1/2,-z'
'-y+1/2,-x+1/2,z'
loop_
_atom_site_label
_atom_site_type_symbol
_atom_site_fract_x
_atom_site_fract_y
_atom_site_fract_z
_atom_site_occupancy
Cr1 Cr 0.2500 0.2500 0.1390 1
Si1 Si 0.2500 0.2500 0.6359 1

=====

# 5
# GGA-PBEsol Cr3Si, relaxed
# Formation energy without anion corrections   -0.167 eV per atom
# Total moment   1.8 Bohr magnetons per cell
data_Cr3Si
_chemical_formula_sum 'Cr3 Si1'
_symmetry_space_group_name_H-M 'P 4/m m m'
_symmetry_Int_Tables_number 123
_symmetry_space_group_name_Hall '-P 4 2'
_cell_length_a 3.9217
_cell_length_b 3.9217
_cell_length_c 2.9531
_cell_angle_alpha 90.00
_cell_angle_beta 90.00
_cell_angle_gamma 90.00
loop_
_atom_site_label
_atom_site_type_symbol
_atom_site_fract_x
_atom_site_fract_y
_atom_site_fract_z
_atom_site_occupancy
Cr1 Cr 0.0000 0.0000 0.0000 1
Cr2 Cr 0.0000 0.5000 0.5000 1
Si1 Si 0.5000 0.5000 0.0000 1

=====

# 6
# GGA-PBEsol Cr3Si, relaxed
# Formation energy without anion corrections   -0.402 eV per atom
# Total moment   0.0 Bohr magnetons per cell
data_Cr3Si
_chemical_formula_sum 'Cr6 Si2'
_symmetry_space_group_name_H-M 'P m -3 n'
_symmetry_Int_Tables_number 223
_symmetry_space_group_name_Hall '-P 4n 2 3'
_cell_length_a 4.4640
_cell_length_b 4.4640
_cell_length_c 4.4640
_cell_angle_alpha 90.00
_cell_angle_beta 90.00
_cell_angle_gamma 90.00
loop_
_atom_site_label
_atom_site_type_symbol
_atom_site_fract_x
_atom_site_fract_y
_atom_site_fract_z
_atom_site_occupancy
Cr1 Cr 0.0000 0.2500 0.5000 1
Si1 Si 0.0000 0.0000 0.0000 1

=====

# 7
# GGA-PBEsol CrSi3, relaxed
# Formation energy without anion corrections   0.012 eV per atom
# Total moment   1.7 Bohr magnetons per cell
data_CrSi3
_chemical_formula_sum 'Cr2 Si6'
_symmetry_space_group_name_H-M 'C 1 2/m 1'
_symmetry_Int_Tables_number 12
_cell_length_a 8.4185
_cell_length_b 2.7779
_cell_length_c 4.2489
_cell_angle_alpha 90.00
_cell_angle_beta 95.06
_cell_angle_gamma 90.00
loop_
_symmetry_equiv_pos_as_xyz
'x,y,z'
'-x,-y,-z'
'-x,y,-z'
'x,-y,z'
'x+1/2,y+1/2,z'
'-x+1/2,-y+1/2,-z'
'-x+1/2,y+1/2,-z'
'x+1/2,-y+1/2,z'
loop_
_atom_site_label
_atom_site_type_symbol
_atom_site_fract_x
_atom_site_fract_y
_atom_site_fract_z
_atom_site_occupancy
Cr1 Cr 0.0000 0.0000 0.0000 1
Si1 Si 0.0000 0.5000 0.5000 1
Si2 Si 0.2392 0.5000 0.2367 1

=====

# 8
# GGA-PBEsol CrSi, relaxed
# Formation energy without anion corrections   -0.369 eV per atom
# Total moment   0.0 Bohr magnetons per cell
data_CrSi
_chemical_formula_sum 'Cr4 Si4'
_symmetry_space_group_name_H-M 'P 21 3'
_symmetry_Int_Tables_number 198
_symmetry_space_group_name_Hall 'P 2ac 2ab 3'
_cell_length_a 4.5475
_cell_length_b 4.5475
_cell_length_c 4.5475
_cell_angle_alpha 90.00
_cell_angle_beta 90.00
_cell_angle_gamma 90.00
loop_
_atom_site_label
_atom_site_type_symbol
_atom_site_fract_x
_atom_site_fract_y
_atom_site_fract_z
_atom_site_occupancy
Cr1 Cr 0.1380 0.1380 0.1380 1
Si1 Si 0.1523 0.3477 0.6523 1

=====

DOS(E_F): 0.380 0.674 0.799 0.392 0.668 0.672 0.679 1.071 (states/eV/atom)